Density functional theory data (GGA-PBE) for a relaxed CsCdIn2Ag crystal.

a b c (Å): 5.5652 5.5652 5.6059
angles (deg): 90.00 90.00 90.00
With the nearest neighbours (Å) after each atom.
Space group P4/mmm (No. 123)
Unique sites:
Cs 0.0000 0.0000 0.0000  4 Cd 3.94, 8 In 3.95
Cd 0.5000 0.5000 0.0000  2 Ag 2.80
In 0.0000 0.5000 0.5000  2 Ag 2.78
Ag 0.5000 0.5000 0.5000  4 In 2.78, 2 Cd 2.80

Output
Formation energy from the elements ... 0.4 eV per formula unit
Electronic total energy ... -1.9363 eV per atom
Total magnetic moment ... 0.00 Bohr magnetons per cell